9
Lattice="-5.347 2.328 -4.399 -4.551 -3.121 3.880 1.719 6.394 1.294" Properties=species:S:1:pos:R:3 comment="KMnCuBr6 | Alexandria | PBE-GGA | optimized geometry" m_tot_mub_per_atom=0.3274 e_form_raw_ev_per_atom=-0.739 volume_a3_per_fu=287.9 pbc="T T T"
Br -5.841 3.632 0.515
Br -4.790 1.939 3.226
Mn -5.135 1.215 0.819
Br -2.650 1.495 0.390
Br -5.220 0.885 -1.694
Br -7.573 0.533 0.980
K -0.371 3.222 2.156
Cu -2.674 1.164 -2.199
Br -4.734 -1.196 1.498